Record 1
Here is a relaxed Ac12MgIn6 crystal from the Alexandria database. Energies are from PBE-GGA.

Geometry as extended XYZ:
```
19
Lattice="-3.802 -8.972 -1.224 8.902 0.085 -4.147 1.158 1.487 9.638" Properties=species:S:1:pos:R:3 pbc="T T T"
Ac 3.058 -7.188 1.576
Ac 6.643 -3.970 1.897
Ac 3.533 -4.492 5.553
Ac 3.200 -0.212 2.692
Ac -0.386 -3.430 2.371
Ac 2.724 -2.908 -1.285
Ac 8.131 0.384 -0.585
Ac 6.731 0.438 6.492
Ac 6.291 -5.837 -3.743
Ac -1.874 -7.784 4.853
Ac -0.473 -7.838 -2.225
Ac -0.033 -1.563 8.010
Mg 0.000 0.000 0.000
In 4.953 -5.319 -0.725
In 0.808 -5.501 -0.211
In 5.399 -1.301 0.341
In 1.304 -2.081 4.993
In 5.449 -1.899 4.478
In 0.858 -6.099 3.927
```

Output
* total magnetization: 0.0 μB per cell
* calculated density: 7.411 Mg/m³
* crystal system: trigonal
* density of states at the Fermi level: 23.9 states/eV per cell
* energy relative to the elements: -0.08 eV per atom
* SG: No. 148
* calculated total energy: -68.81 eV/f.u.

***

Record 2
Here is a relaxed Ac2Mg6In crystal from the Alexandria database. Energies are from PBE-GGA.

Geometry as extended XYZ:
```
9
Lattice="-2.654 -6.156 0.786 2.485 1.924 -5.524 6.457 -2.620 1.289" Properties=species:S:1:pos:R:3 pbc="T T T"
Ac -0.171 -3.768 -1.106
Ac 6.459 -3.084 -2.343
Mg 2.479 -6.428 0.299
Mg 3.878 -5.674 -2.359
Mg 3.696 -3.605 -0.062
Mg 3.810 -0.424 -3.748
Mg 2.410 -1.178 -1.091
Mg 2.592 -3.247 -3.388
In 0.000 0.000 0.000
```

Output
* total magnetization: 0.0 μB per cell
* calculated density: 4.631 Mg/m³
* crystal system: monoclinic
* density of states at the Fermi level: 6.5 states/eV per cell
* energy relative to the elements: -0.12 eV per atom
* SG: No. 12
* calculated total energy: -21.57 eV/f.u.

***

Record 3
Here is a relaxed Ac2MgIn3 crystal from the Alexandria database. Energies are from PBE-GGA.

Geometry as extended XYZ:
```
12
Lattice="6.535 -0.613 0.000 -0.867 6.507 0.000 -2.834 -2.947 8.849" Properties=species:S:1:pos:R:3 pbc="T T T"
Ac -0.433 3.253 4.424
Ac 4.263 4.432 0.000
Ac 3.268 -0.307 4.424
Ac 1.406 1.462 0.000
Mg 2.834 2.947 2.959
Mg 0.000 0.000 5.889
In 0.995 4.716 1.486
In -1.840 1.770 7.363
In 1.840 -1.770 7.363
In 4.674 1.177 1.486
In 0.000 0.000 2.969
In 2.834 2.947 5.879
```

Output
* total magnetization: 0.0 μB per cell
* calculated density: 7.354 Mg/m³
* crystal system: orthorhombic
* density of states at the Fermi level: 9.0 states/eV per cell
* energy relative to the elements: -0.41 eV per atom
* SG: No. 69
* calculated total energy: -20.48 eV/f.u.

***

Record 4
Here is a relaxed Ac4MgIn3 crystal from the Alexandria database. Energies are from PBE-GGA.

Geometry as extended XYZ:
```
8
Lattice="5.571 0.000 -1.504 -0.397 5.565 -1.472 -0.495 -0.568 9.237" Properties=species:S:1:pos:R:3 pbc="T T T"
Ac 1.566 1.657 5.800
Ac 3.113 3.341 0.462
Ac 0.526 0.556 1.950
Ac 4.152 4.442 4.312
Mg 2.786 0.000 -0.752
In -0.199 2.783 -0.736
In 3.819 1.093 3.078
In 0.859 3.905 3.184
```

Output
* total magnetization: 0.0 μB per cell
* calculated density: 7.646 Mg/m³
* crystal system: monoclinic
* density of states at the Fermi level: 8.2 states/eV per cell
* energy relative to the elements: -0.34 eV per atom
* SG: No. 12
* calculated total energy: -28.96 eV/f.u.